# KTiTcS3 | the Alexandria database | PBE | optimized geometry
data_KTiTcS3
_space_group_name_H-M_alt 'P 1 21/m 1'
_space_group_IT_number 11
_cell_length_a 8.5338
_cell_length_b 3.4185
_cell_length_c 9.6027
_cell_angle_alpha 90.00
_cell_angle_beta 113.69
_cell_angle_gamma 90.00
loop_
_space_group_symop_operation_xyz
'x,y,z'
'-x,-y,-z'
'-x,y+1/2,-z'
'x,-y+1/2,z'
loop_
_atom_site_label
_atom_site_fract_x
_atom_site_fract_y
_atom_site_fract_z
K1 0.2197 0.2500 0.2314
Ti1 0.3202 0.7500 0.8469
Tc1 0.0890 0.2500 0.6138
S1 0.1245 0.2500 0.8701
S2 0.2186 0.7500 0.5348
S3 0.4626 0.7500 0.1319
# Calculated total energy = -6.34 eV/atom
# Uncorrected formation energy = -101.5 kJ per mole of atoms
# D(E_F) = 3.42 states/eV per cell
# Size of the total moment = 0.00 Bohr magnetons per cell



# InPbI2N | the Alexandria database | PBE | optimized geometry
data_InPbI2N
_space_group_name_H-M_alt 'P 4/m m m'
_space_group_IT_number 123
_space_group_name_Hall '-P 4 2'
_cell_length_a 6.2436
_cell_length_b 6.2436
_cell_length_c 3.9777
_cell_angle_alpha 90.00
_cell_angle_beta 90.00
_cell_angle_gamma 90.00
loop_
_atom_site_label
_atom_site_fract_x
_atom_site_fract_y
_atom_site_fract_z
In1 0.0000 0.0000 0.0000
Pb1 0.5000 0.5000 0.5000
I1 0.0000 0.5000 0.0000
N1 0.0000 0.0000 0.5000
# Calculated total energy = -3.16 eV/atom
# Polymorph energy (0 for the lowest one) = 0.000 eV per atom
# Uncorrected formation energy = 40.4 kJ per mole of atoms
# D(E_F) = 4.35 states/eV per cell
# Size of the total moment = 0.42 Bohr magnetons per cell



# SbPCl2O | the Alexandria database | PBE | optimized geometry
data_SbPCl2O
_space_group_name_H-M_alt 'P 4/m m m'
_space_group_IT_number 123
_space_group_name_Hall '-P 4 2'
_cell_length_a 4.4895
_cell_length_b 4.4895
_cell_length_c 4.4680
_cell_angle_alpha 90.00
_cell_angle_beta 90.00
_cell_angle_gamma 90.00
loop_
_atom_site_label
_atom_site_fract_x
_atom_site_fract_y
_atom_site_fract_z
Sb1 0.0000 0.0000 0.0000
P1 0.5000 0.5000 0.0000
Cl1 0.0000 0.5000 0.5000
O1 0.5000 0.5000 0.5000
# Calculated total energy = -3.14 eV/atom
# Polymorph energy (0 for the lowest one) = 0.000 eV per atom
# Uncorrected formation energy = 48.1 kJ per mole of atoms
# D(E_F) = 1.83 states/eV per cell
# Size of the total moment = 0.00 Bohr magnetons per cell



# Li3Hf3NiS8 | the Alexandria database | PBE | optimized geometry
data_Li3Hf3NiS8
_space_group_name_H-M_alt 'R -3 m'
_space_group_IT_number 166
_space_group_name_Hall '-R 3 2"'
_cell_length_a 7.1879
_cell_length_b 7.1879
_cell_length_c 18.5090
_cell_angle_alpha 90.00
_cell_angle_beta 90.00
_cell_angle_gamma 120.00
loop_
_atom_site_label
_atom_site_fract_x
_atom_site_fract_y
_atom_site_fract_z
Li1 0.0000 0.5000 0.0000
Hf1 0.0000 0.5000 0.5000
Ni1 0.0000 0.0000 0.5000
S1 0.0000 0.0000 0.2487
S2 0.0081 0.5040 0.2442
# Calculated total energy = -6.28 eV/atom
# Uncorrected formation energy = -126.9 kJ per mole of atoms
# D(E_F) = 13.16 states/eV per cell
# Size of the total moment = 5.64 Bohr magnetons per cell



# Dy3PbS6 | the Alexandria database | PBE | optimized geometry
data_Dy3PbS6
_space_group_name_H-M_alt 'P 1 21/m 1'
_space_group_IT_number 11
_cell_length_a 11.1382
_cell_length_b 4.0362
_cell_length_c 11.4723
_cell_angle_alpha 90.00
_cell_angle_beta 107.98
_cell_angle_gamma 90.00
loop_
_space_group_symop_operation_xyz
'x,y,z'
'-x,-y,-z'
'-x,y+1/2,-z'
'x,-y+1/2,z'
loop_
_atom_site_label
_atom_site_fract_x
_atom_site_fract_y
_atom_site_fract_z
Dy1 0.0599 0.2500 0.1650
Dy2 0.1763 0.7500 0.4981
Dy3 0.3406 0.2500 0.9142
Pb1 0.4619 0.2500 0.3167
S1 0.0191 0.2500 0.3865
S2 0.1056 0.2500 0.9414
S3 0.2242 0.7500 0.2693
S4 0.2963 0.7500 0.7466
S5 0.3691 0.2500 0.5298
S6 0.4143 0.7500 0.0827
# Calculated total energy = -5.80 eV/atom
# Uncorrected formation energy = -151.4 kJ per mole of atoms
# D(E_F) = 18.18 states/eV per cell
# Size of the total moment = 0.00 Bohr magnetons per cell



# SiSbTe2As | the Alexandria database | PBE | optimized geometry
data_SiSbTe2As
_space_group_name_H-M_alt 'P 4/m m m'
_space_group_IT_number 123
_space_group_name_Hall '-P 4 2'
_cell_length_a 5.1761
_cell_length_b 5.1761
_cell_length_c 5.2507
_cell_angle_alpha 90.00
_cell_angle_beta 90.00
_cell_angle_gamma 90.00
loop_
_atom_site_label
_atom_site_fract_x
_atom_site_fract_y
_atom_site_fract_z
Si1 0.0000 0.0000 0.0000
Sb1 0.0000 0.0000 0.5000
Te1 0.0000 0.5000 0.0000
As1 0.5000 0.5000 0.5000
# Calculated total energy = -3.38 eV/atom
# Polymorph energy (0 for the lowest one) = 0.000 eV per atom
# Uncorrected formation energy = 68.8 kJ per mole of atoms
# D(E_F) = 4.18 states/eV per cell
# Size of the total moment = 0.00 Bohr magnetons per cell